# PmUGa6

A geometry-optimized PmUGa6 structure (PBE-GGA, the Alexandria database).

The structure in POSCAR format:
```
PmUGa6
1.0
6.316 0.000 0.000
-3.158 5.469 0.000
0.000 0.000 4.579
Pm U Ga
1 1 6
Direct
0.000 0.000 0.000 Pm
0.667 0.333 0.500 U
0.036 0.518 0.000 Ga
0.187 0.373 0.500 Ga
0.187 0.813 0.500 Ga
0.482 0.518 0.000 Ga
0.482 0.964 0.000 Ga
0.627 0.813 0.500 Ga
```

Summary:
Magnetization   0.303 μB per atom
Calculated formation energy   -0.38 eV per atom
Calculated total energy   -4.6549 eV per atom

# Ho2GePt9

A geometry-optimized Ho2GePt9 structure (PBE-GGA, the Alexandria database).

The structure in POSCAR format:
```
Ho2GePt9
1.0
4.077 0.000 0.000
0.000 4.077 0.000
0.000 0.000 12.126
Ho Ge Pt
2 1 9
Direct
0.000 0.000 0.169 Ho
0.000 0.000 0.831 Ho
0.000 0.000 0.500 Ge
0.000 0.500 0.000 Pt
0.000 0.500 0.344 Pt
0.000 0.500 0.656 Pt
0.500 0.000 0.000 Pt
0.500 0.000 0.344 Pt
0.500 0.000 0.656 Pt
0.500 0.500 0.173 Pt
0.500 0.500 0.500 Pt
0.500 0.500 0.827 Pt
```

Summary:
Magnetization   0.000 μB per atom
Calculated formation energy   -0.78 eV per atom
Calculated total energy   -6.4602 eV per atom

# TbHoOs

A geometry-optimized TbHoOs structure (PBE-GGA, the Alexandria database).

The structure in POSCAR format:
```
TbHoOs
1.0
0.000 3.378 3.378
3.378 0.000 3.378
3.378 3.378 0.000
Tb Ho Os
1 1 1
Direct
0.000 0.000 0.000 Tb
0.500 0.500 0.500 Ho
0.750 0.750 0.750 Os
```

Summary:
Magnetization   0.000 μB per atom
Calculated formation energy   -0.21 eV per atom
Calculated total energy   -7.0229 eV per atom

# K3HfCo

A geometry-optimized K3HfCo structure (PBE-GGA, the Alexandria database).

The structure in POSCAR format:
```
K3HfCo
1.0
6.635 0.000 0.000
0.000 6.635 0.000
0.000 0.000 6.635
K Hf Co
3 1 1
Direct
0.000 0.000 0.500 K
0.000 0.500 0.000 K
0.500 0.000 0.000 K
0.000 0.000 0.000 Hf
0.500 0.500 0.500 Co
```

Summary:
Magnetization   0.400 μB per atom
Calculated formation energy   1.86 eV per atom
Calculated total energy   -2.2134 eV per atom

# CsNaW2

A geometry-optimized CsNaW2 structure (PBE-GGA, the Alexandria database).

The structure in POSCAR format:
```
CsNaW2
1.0
0.000 3.457 3.457
3.457 0.000 3.457
3.457 3.457 0.000
Cs Na W
1 1 2
Direct
0.000 0.000 0.000 Cs
0.500 0.500 0.500 Na
0.250 0.250 0.250 W
0.750 0.750 0.750 W
```

Summary:
Magnetization   0.000 μB per atom
Calculated formation energy   2.89 eV per atom
Calculated total energy   -4.1283 eV per atom

# AcLuTlIr

A geometry-optimized AcLuTlIr structure (PBE-GGA, the Alexandria database).

The structure in POSCAR format:
```
AcLuTlIr
1.0
0.000 3.746 3.746
3.746 0.000 3.746
3.746 3.746 0.000
Ac Lu Tl Ir
1 1 1 1
Direct
0.000 0.000 0.000 Ac
0.500 0.500 0.500 Lu
0.750 0.750 0.750 Tl
0.250 0.250 0.250 Ir
```

Summary:
Magnetization   0.000 μB per atom
Calculated formation energy   -0.30 eV per atom
Calculated total energy   -5.2634 eV per atom